The following is a DFT calculation (GGA-PBE) of crystalline K4LiU3S8 at its relaxed geometry.

Cell: 8.7066 8.7066 8.7066 Å, 55.47 55.47 55.47°
Closest atoms and distances in Å follow each position.
Positions (direct):
1 K 0.0000 0.0000 0.0000  6 S 3.18
2 K 0.0000 0.5000 0.5000  6 S 3.19-3.25
3 K 0.5000 0.0000 0.5000  6 S 3.19-3.25
4 K 0.5000 0.5000 0.0000  6 S 3.19-3.25
5 Li 0.5000 0.5000 0.5000  6 S 2.81
6 U 0.0000 0.0000 0.5000  6 S 2.73-2.78
7 U 0.0000 0.5000 0.0000  6 S 2.73-2.78
8 U 0.5000 0.0000 0.0000  6 S 2.73-2.78
9 S 0.2230 0.7374 0.7374  2 U 2.73, 1 Li 2.81
10 S 0.2347 0.2347 0.2347  3 U 2.78
11 S 0.2626 0.2626 0.7770  2 U 2.73, 1 Li 2.81
12 S 0.2626 0.7770 0.2626  2 U 2.73, 1 Li 2.81
13 S 0.7374 0.2230 0.7374  2 U 2.73, 1 Li 2.81
14 S 0.7374 0.7374 0.2230  2 U 2.73, 1 Li 2.81
15 S 0.7653 0.7653 0.7653  3 U 2.78
16 S 0.7770 0.2626 0.2626  2 U 2.73, 1 Li 2.81

Values from the calculation:
Formation energy without anion corrections, kJ/mol of formula units: -2164
Density of states at the Fermi level, states/eV/cell: 10.936